Computed, not measured: crystalline ScBeAs2 at its relaxed geometry at the GGA-PBE level of DFT.

Unit cell a=6.5127 b=6.5127 c=6.5127 alpha=32.59 beta=32.59 gamma=32.59
Last column: nearest neighbours and their distance in Å.
Element x y z (fractional)
Sc1 0.0000 0.0000 0.0000  6 As 2.75
Be1 0.5000 0.5000 0.5000  6 As 2.49
As1 0.2379 0.2379 0.2379  3 Be 2.49, 3 Sc 2.75
As2 0.7621 0.7621 0.7621  3 Be 2.49, 3 Sc 2.75

Calculated values
**Energy of formation**: -0.394 eV per atom
**DOS(E_F)**: 1.9 states/eV/f.u.


Computed, not measured: crystalline LiAsIr at its relaxed geometry at the GGA-PBE level of DFT.

Unit cell a=4.5758 b=4.5758 c=4.5758 alpha=141.89 beta=134.61 gamma=60.72
Last column: nearest neighbours and their distance in Å.
Element x y z (fractional)
Li1 0.0000 0.0000 0.0000  5 As 2.57-2.69, 5 Ir 2.58-2.69
As1 0.6748 0.6748 0.0000  5 Li 2.57-2.69, 5 Ir 2.60-2.75
Ir1 0.3261 0.3261 0.0000  5 Li 2.58-2.69, 5 As 2.60-2.75

Calculated values
**Energy of formation**: -0.323 eV per atom
**DOS(E_F)**: 0.8 states/eV/f.u.


Computed, not measured: crystalline PuTh4Sn15 at its relaxed geometry at the GGA-PBE level of DFT.

Unit cell a=4.7661 b=4.7661 c=23.3824 alpha=90.00 beta=90.00 gamma=90.00
Last column: nearest neighbours and their distance in Å.
Element x y z (fractional)
Pu1 0.0000 0.0000 0.0000  12 Sn 3.29-3.37
Th1 0.0000 0.0000 0.1986  12 Sn 3.34-3.37
Th2 0.0000 0.0000 0.3992  12 Sn 3.35-3.37
Th3 0.0000 0.0000 0.6008  12 Sn 3.35-3.37
Th4 0.0000 0.0000 0.8014  12 Sn 3.34-3.37
Sn1 0.0000 0.5000 0.0970  8 Sn 3.29-3.37, 2 Pu 3.29, 2 Th 3.37
Sn2 0.0000 0.5000 0.2987  4 Th 3.34-3.35, 8 Sn 3.35-3.37
Sn3 0.0000 0.5000 0.5000  4 Th 3.35, 8 Sn 3.35-3.37
Sn4 0.0000 0.5000 0.7013  4 Th 3.34-3.35, 8 Sn 3.35-3.37
Sn5 0.0000 0.5000 0.9030  8 Sn 3.29-3.37, 2 Pu 3.29, 2 Th 3.37
Sn6 0.5000 0.0000 0.0970  8 Sn 3.29-3.37, 2 Pu 3.29, 2 Th 3.37
Sn7 0.5000 0.0000 0.2987  4 Th 3.34-3.35, 8 Sn 3.35-3.37
Sn8 0.5000 0.0000 0.5000  4 Th 3.35, 8 Sn 3.35-3.37
Sn9 0.5000 0.0000 0.7013  4 Th 3.34-3.35, 8 Sn 3.35-3.37
Sn10 0.5000 0.0000 0.9030  8 Sn 3.29-3.37, 2 Pu 3.29, 2 Th 3.37
Sn11 0.5000 0.5000 0.0000  8 Sn 3.29, 4 Pu 3.37
Sn12 0.5000 0.5000 0.1969  8 Sn 3.34-3.37, 4 Th 3.37
Sn13 0.5000 0.5000 0.3992  8 Sn 3.35, 4 Th 3.37
Sn14 0.5000 0.5000 0.6008  8 Sn 3.35, 4 Th 3.37
Sn15 0.5000 0.5000 0.8031  8 Sn 3.34-3.37, 4 Th 3.37

Calculated values
**Energy of formation**: -0.428 eV per atom
**DOS(E_F)**: 18.9 states/eV/f.u.


Computed, not measured: crystalline La2Ni12As7 at its relaxed geometry at the GGA-PBE level of DFT.

Unit cell a=9.4338 b=9.4338 c=3.9448 alpha=90.00 beta=90.00 gamma=120.00
Last column: nearest neighbours and their distance in Å.
Element x y z (fractional)
La1 0.0000 0.0000 0.0000  6 As 3.10, 12 Ni 3.18-3.30
La2 0.3333 0.6667 0.5000  6 As 3.07, 9 Ni 3.12-3.27
Ni1 0.0391 0.7548 0.5000  4 As 2.41-2.48, 1 Ni 2.66
Ni2 0.1031 0.3901 0.0000  4 As 2.38-2.41, 1 Ni 2.54
Ni3 0.2452 0.2843 0.5000  4 As 2.41-2.48, 1 Ni 2.66
Ni4 0.2870 0.8969 0.0000  4 As 2.38-2.41, 1 Ni 2.54
Ni5 0.3895 0.2021 0.0000  4 As 2.27-2.43
Ni6 0.5592 0.1305 0.5000  5 As 2.42-2.70, 1 Ni 2.66
Ni7 0.5713 0.4408 0.5000  5 As 2.42-2.70, 1 Ni 2.66
Ni8 0.6099 0.7130 0.0000  4 As 2.38-2.41, 1 Ni 2.54
Ni9 0.7157 0.9609 0.5000  4 As 2.41-2.48, 1 Ni 2.66
Ni10 0.7979 0.1874 0.0000  4 As 2.27-2.43
Ni11 0.8126 0.6105 0.0000  4 As 2.27-2.43
Ni12 0.8695 0.4287 0.5000  5 As 2.42-2.70, 1 Ni 2.66
As1 0.0648 0.6231 0.0000  5 Ni 2.32-2.41
As2 0.2684 0.0334 0.5000  7 Ni 2.41-2.48
As3 0.3769 0.4416 0.0000  5 Ni 2.32-2.41
As4 0.5584 0.9352 0.0000  5 Ni 2.32-2.41
As5 0.6667 0.3333 0.0000  3 Ni 2.27
As6 0.7650 0.7316 0.5000  7 Ni 2.41-2.48
As7 0.9666 0.2350 0.5000  7 Ni 2.41-2.48

Calculated values
**Energy of formation**: -0.538 eV per atom
**DOS(E_F)**: 14.0 states/eV/f.u.


Computed, not measured: crystalline Sm3ZnRu3 at its relaxed geometry at the GGA-PBE level of DFT.

Unit cell a=5.6358 b=5.6358 c=13.4113 alpha=90.00 beta=90.00 gamma=134.47
Last column: nearest neighbours and their distance in Å.
Element x y z (fractional)
Sm1 0.0049 0.9951 0.7500  7 Ru 3.04-3.13, 2 Zn 3.35
Sm2 0.2943 0.7057 0.6039  6 Ru 2.94-3.11
Sm3 0.2943 0.7057 0.8961  6 Ru 2.94-3.11
Sm4 0.7057 0.2943 0.1039  6 Ru 2.94-3.11
Sm5 0.7057 0.2943 0.3961  6 Ru 2.94-3.11
Sm6 0.9951 0.0049 0.2500  7 Ru 3.04-3.13, 2 Zn 3.35
Zn1 0.0000 0.0000 0.0000  4 Ru 2.65
Zn2 0.0000 0.0000 0.5000  4 Ru 2.65
Ru1 0.2909 0.7091 0.2500  2 Ru 2.49
Ru2 0.4188 0.5812 0.0930  1 Ru 2.49, 2 Zn 2.65
Ru3 0.4188 0.5812 0.4070  1 Ru 2.49, 2 Zn 2.65
Ru4 0.5812 0.4188 0.5930  1 Ru 2.49, 2 Zn 2.65
Ru5 0.5812 0.4188 0.9070  1 Ru 2.49, 2 Zn 2.65
Ru6 0.7091 0.2909 0.7500  2 Ru 2.49

Calculated values
**Energy of formation**: -0.271 eV per atom
**DOS(E_F)**: 5.2 states/eV/f.u.


Computed, not measured: crystalline Li2MnPb2 at its relaxed geometry at the GGA-PBE level of DFT.

Unit cell a=5.4523 b=5.4523 c=5.4523 alpha=122.01 beta=122.01 gamma=86.55
Last column: nearest neighbours and their distance in Å.
Element x y z (fractional)
Li1 0.1520 0.1520 0.0000  1 Li 2.41
Li2 0.8480 0.8480 0.0000  1 Li 2.41
Mn1 0.5000 0.5000 0.0000  2 Li 2.76
Pb1 0.2500 0.7500 0.5000  4 Li 2.75
Pb2 0.7500 0.2500 0.5000  4 Li 2.75

Calculated values
**Energy of formation**: 0.267 eV per atom
**Distance to the lowest polymorph of the same formula**: 190 meV per atom
**DOS(E_F)**: 2.8 states/eV/f.u.


Computed, not measured: crystalline RbBa2I2 at its relaxed geometry at the GGA-PBE level of DFT.

Unit cell a=9.9720 b=9.9720 c=4.6225 alpha=90.00 beta=90.00 gamma=90.00
Last column: nearest neighbours and their distance in Å.
Element x y z (fractional)
Rb1 0.0000 0.0000 0.0000  4 I 3.88
Rb2 0.5000 0.5000 0.0000  4 I 3.88
Ba1 0.1607 0.3393 0.5000  6 I 3.69-3.76
Ba2 0.3393 0.8393 0.5000  6 I 3.69-3.76
Ba3 0.6607 0.1607 0.5000  6 I 3.69-3.76
Ba4 0.8393 0.6607 0.5000  6 I 3.69-3.76
I1 0.1356 0.6357 0.0000  6 Ba 3.69-3.76, 1 I 3.83, 2 Rb 3.88
I2 0.3644 0.1356 0.0000  6 Ba 3.69-3.76, 1 I 3.83, 2 Rb 3.88
I3 0.6357 0.8644 0.0000  6 Ba 3.69-3.76, 1 I 3.83, 2 Rb 3.88
I4 0.8644 0.3644 0.0000  6 Ba 3.69-3.76, 1 I 3.83, 2 Rb 3.88

Calculated values
**Formation energy (no corrections)**: -0.895 eV/atom
**Distance to the lowest polymorph of the same formula**: 56 meV per atom
**DOS(E_F)**: 3.2 states/eV/f.u.


Computed, not measured: crystalline PaCoS at its relaxed geometry at the GGA-PBE level of DFT.

Unit cell a=5.0773 b=5.0773 c=5.0773 alpha=140.85 beta=140.85 gamma=56.57
Last column: nearest neighbours and their distance in Å.
Element x y z (fractional)
Pa1 0.0000 0.0000 0.0000  4 Co 2.74, 5 S 2.81-2.93
Co1 0.6478 0.6478 0.0000  4 Pa 2.74, 5 S 2.83-2.99
S1 0.3138 0.3138 0.0000  5 Pa 2.81-2.93, 5 Co 2.83-2.99

Calculated values
**Formation energy (no corrections)**: -0.605 eV/atom
**Distance to the lowest polymorph of the same formula**: 475 meV per atom
**DOS(E_F)**: 2.4 states/eV/f.u.


Computed, not measured: crystalline TbErNiRh at its relaxed geometry at the GGA-PBE level of DFT.

Unit cell a=4.1021 b=5.5942 c=5.5942 alpha=39.88 beta=90.00 gamma=90.00
Last column: nearest neighbours and their distance in Å.
Element x y z (fractional)
Tb1 0.0000 0.0000 0.0000  4 Ni 2.88, 3 Rh 2.93-3.01
Er1 0.5000 0.7177 0.7177  4 Rh 2.87, 3 Ni 2.96-2.99
Ni1 0.5000 0.4364 0.4364  2 Rh 2.64, 4 Tb 2.88
Rh1 0.0000 0.2782 0.2782  2 Ni 2.64, 4 Er 2.87, 1 Tb 2.93

Calculated values
**Energy of formation**: -0.662 eV per atom
**Distance to the lowest polymorph of the same formula**: 0 meV per atom
**DOS(E_F)**: 2.4 states/eV/f.u.


Computed, not measured: crystalline LaTm3Pd at its relaxed geometry at the GGA-PBE level of DFT.

Unit cell a=5.4261 b=5.4261 c=5.4261 alpha=90.00 beta=90.00 gamma=90.00
Last column: nearest neighbours and their distance in Å.
Element x y z (fractional)
La1 0.0000 0.0000 0.0000  12 Tm 3.84
Tm1 0.0000 0.5000 0.5000  2 Pd 2.71
Tm2 0.5000 0.0000 0.5000  2 Pd 2.71
Tm3 0.5000 0.5000 0.0000  2 Pd 2.71
Pd1 0.5000 0.5000 0.5000  6 Tm 2.71

Calculated values
**Energy of formation**: -0.225 eV per atom
**DOS(E_F)**: 7.7 states/eV/f.u.